The following is a DFT calculation (PBE-GGA) of Rb5I2ClO after structural relaxation.

abc: 10.012 10.012 10.012
angles: 148.23 132.93 57.91
Fractional positions:
Rb: 0.000 0.000 0.000
Rb: 0.131 0.388 0.743
Rb: 0.355 0.612 0.743
Rb: 0.645 0.388 0.257
Rb: 0.869 0.612 0.257
I: 0.209 0.209 0.000
I: 0.791 0.791 0.000
Cl: 0.500 0.000 0.500
O: 0.000 0.500 0.500

Results
- E_form (uncorrected): -1379 meV per atom


The following is a DFT calculation (PBE-GGA) of Ac2PrNd after structural relaxation.

abc: 3.877 3.877 10.656
angles: 90.00 90.00 90.00
Fractional positions:
Ac: 0.000 0.000 0.249
Ac: 0.000 0.000 0.751
Pr: 0.500 0.500 0.500
Nd: 0.500 0.500 0.000

Results
- Energy above the lowest structure with this stoichiometry: 3 meV per atom
- D(E_F): 7.1 states/eV/f.u.
- Energy relative to the elements: 0.024 eV/atom


The following is a DFT calculation (PBE-GGA) of CsMgNb after structural relaxation.

abc: 3.574 4.877 13.708
angles: 100.03 90.05 90.00
Fractional positions:
Cs: 0.000 0.000 0.000
Cs: 0.486 0.685 0.351
Mg: 0.268 0.299 0.587
Mg: 0.768 0.386 0.765
Nb: 0.274 0.876 0.744
Nb: 0.773 0.809 0.607

Results
- Energy above the lowest structure with this stoichiometry: 0 meV per atom
- D(E_F): 2.7 states/eV/f.u.
- Energy relative to the elements: 0.487 eV/atom


Result set for V: 42.658 40.049 39.213 Å³/atom, one per record in the order listed.
Result set for total energy: -3.017 -4.417 -3.685 eV per atom, one per record in the order listed.